Record 1
Computed, not measured: a relaxed Ta2SiHgRh crystal at the GGA-PBE level of DFT.

Geometry as POSCAR:
```
Ta2SiHgRh
1.0
4.998 0.000 0.000
0.000 4.998 0.000
0.000 0.000 4.861
Ta Si Hg Rh
2 1 1 1
Direct
0.000 0.500 0.000 Ta
0.500 0.000 0.000 Ta
0.000 0.000 0.500 Si
0.500 0.500 0.000 Hg
0.500 0.500 0.500 Rh
```

Properties
* raw formation energy: 2.145 eV per atom
* total DFT energy (no corrections): -5.211 eV per atom
* DOS at the Fermi energy: 1.546 states/eV/atom

=====

Record 2
Computed, not measured: a relaxed TbPr2NdY2 crystal at the GGA-PBE level of DFT.

Geometry as POSCAR:
```
TbPr2NdY2
1.0
6.775 0.000 0.000
0.000 17.861 0.000
0.000 0.000 3.430
Tb Pr Nd Y
2 4 2 4
Direct
0.000 0.000 0.000 Tb
0.500 0.500 0.500 Tb
0.239 0.348 0.500 Pr
0.261 0.848 0.000 Pr
0.739 0.152 0.000 Pr
0.761 0.652 0.500 Pr
0.000 0.500 0.000 Nd
0.500 0.000 0.500 Nd
0.243 0.177 0.000 Y
0.257 0.677 0.500 Y
0.743 0.323 0.500 Y
0.757 0.823 0.000 Y
```

Properties
* formation energy: 1.48 eV/f.u.
* total DFT energy (no corrections): -5.068 eV per atom
* DOS at the Fermi energy: 1.514 states/eV/atom

=====

Record 3
Computed, not measured: a relaxed Zn2GaAg crystal at the GGA-PBE level of DFT.

Geometry as POSCAR:
```
Zn2GaAg
1.0
4.804 0.000 0.000
0.000 4.749 0.000
0.000 0.000 11.549
Zn Ga Ag
8 4 4
Direct
0.084 0.250 0.187 Zn
0.085 0.250 0.946 Zn
0.415 0.750 0.446 Zn
0.416 0.750 0.687 Zn
0.584 0.250 0.313 Zn
0.585 0.250 0.554 Zn
0.915 0.750 0.054 Zn
0.916 0.750 0.813 Zn
0.082 0.250 0.684 Ga
0.418 0.750 0.184 Ga
0.582 0.250 0.816 Ga
0.918 0.750 0.316 Ga
0.092 0.250 0.430 Ag
0.408 0.750 0.930 Ag
0.592 0.250 0.070 Ag
0.908 0.750 0.570 Ag
```

Properties
* formation energy: 0.05 eV/f.u.
* total DFT energy (no corrections): -2.095 eV per atom
* DOS at the Fermi energy: 0.273 states/eV/atom

=====

Record 4
Computed, not measured: a relaxed LaNd2Tm crystal at the GGA-PBE level of DFT.

Geometry as POSCAR:
```
LaNd2Tm
1.0
1.826 1.054 11.896
-1.826 1.054 11.896
0.000 -2.108 11.896
La Nd Tm
1 2 1
Direct
0.000 0.000 0.000 La
0.247 0.247 0.247 Nd
0.753 0.753 0.753 Nd
0.500 0.500 0.500 Tm
```

Properties
* formation energy: 0.09 eV/f.u.
* ΔE to the lowest computed polymorph: 6 meV per atom
* total DFT energy (no corrections): -4.712 eV per atom
* DOS at the Fermi energy: 1.356 states/eV/atom